Record 1
Material: Li2In9Hg
Method: DFT, GGA-PBE
State: relaxed

Results
Symmetry ... P4/mmm (123)
Size of the total moment ... 0.00 μB/cell
Energy ... -2.48 eV per atom

Unit cell a=4.624 b=4.624 c=13.953 alpha=90.00 beta=90.00 gamma=90.00
Fractional positions:
1 In 0.000 0.500 0.500
2 In 0.500 0.500 0.000
3 In 0.500 0.000 0.176
4 Li 0.000 0.000 0.655
5 Li 0.000 0.000 0.345
6 In 0.000 0.500 0.176
7 In 0.500 0.500 0.661
8 Hg 0.000 0.000 0.000
9 In 0.000 0.500 0.824
10 In 0.500 0.000 0.824
11 In 0.500 0.000 0.500
12 In 0.500 0.500 0.339



Record 2
Material: Sr4ZnPd2
Method: DFT, GGA-PBE
State: relaxed

Results
Symmetry ... Cm (8)
Size of the total moment ... 0.00 μB/cell
Energy ... -3.06 eV per atom

Unit cell a=7.787 b=7.788 c=8.442 alpha=105.22 beta=105.22 gamma=73.54
Fractional positions:
1 Sr 0.121 0.121 0.831
2 Zn 0.817 0.817 0.683
3 Sr 0.615 0.615 0.336
4 Pd 0.929 0.452 0.622
5 Pd 0.452 0.929 0.622
6 Sr 0.144 0.622 0.970
7 Pd 0.340 0.340 0.196
8 Zn 0.836 0.836 0.196
9 Pd 0.331 0.331 0.694
10 Sr 0.622 0.144 0.970
11 Sr 0.611 0.611 0.828
12 Sr 0.162 0.639 0.478
13 Sr 0.639 0.162 0.478
14 Sr 0.131 0.131 0.345



Record 3
Material: La2YPuO8
Method: DFT, GGA-PBE
State: relaxed

Results
Symmetry ... P2/m (10)
Size of the total moment ... 1.00 μB/cell
E_form (uncorrected) ... -3.040 eV/atom
Energy ... -8.90 eV per atom

Unit cell a=4.146 b=5.626 c=7.520 alpha=90.01 beta=90.00 gamma=96.76
Fractional positions:
1 O 0.054 0.775 0.780
2 Y 0.000 0.000 0.500
3 O 0.533 0.753 0.500
4 O 0.946 0.225 0.780
5 La 0.500 0.500 0.256
6 O 0.054 0.775 0.220
7 O 0.586 0.792 0.000
8 Pu 0.000 0.000 0.000
9 O 0.467 0.247 0.500
10 O 0.946 0.225 0.220
11 O 0.414 0.208 0.000
12 La 0.500 0.500 0.744



Record 4
Material: CeScRu2
Method: DFT, GGA-PBE
State: relaxed

Results
Symmetry ... P4/mmm (123)
Size of the total moment ... 0.00 μB/cell
Energy ... -8.18 eV per atom

Unit cell a=3.334 b=4.717 c=4.717 alpha=90.00 beta=90.00 gamma=90.00
Fractional positions:
1 Ru 0.000 0.500 0.000
2 Ru 0.000 0.000 0.500
3 Ce 0.500 0.500 0.500
4 Sc 0.500 0.000 0.000



Record 5
Material: Cu2SeI
Method: DFT, GGA-PBE
State: relaxed

Results
Symmetry ... R3m (160)
Size of the total moment ... 0.00 μB/cell
E_form (uncorrected) ... -0.029 eV/atom
Energy ... -3.34 eV per atom
Polymorph energy (0 for the lowest one) ... 2.53 kcal/mol of atoms

Unit cell a=3.928 b=3.928 c=7.864 alpha=75.54 beta=75.54 gamma=60.00
Fractional positions:
1 Cu 0.061 0.061 0.816
2 I 0.462 0.462 0.615
3 Cu 0.339 0.339 0.984
4 Se 0.638 0.638 0.086



Record 6
Material: Li3UN3
Method: DFT, GGA-PBE
State: relaxed

Results
Symmetry ... Pm-3m (221)
Size of the total moment ... 0.00 μB/cell
E_form (uncorrected) ... -1.027 eV/atom
Energy ... -7.03 eV per atom

Unit cell a=4.380 b=4.380 c=4.380 alpha=90.01 beta=90.01 gamma=90.01
Fractional positions:
1 N 0.043 0.043 0.543
2 Li 0.043 0.543 0.543
3 N 0.043 0.543 0.043
4 U 0.043 0.043 0.043
5 Li 0.543 0.543 0.043
6 N 0.543 0.043 0.043
7 Li 0.543 0.043 0.543



Record 7
Material: Y3Tm2Th4
Method: DFT, GGA-PBE
State: relaxed

Results
Symmetry ... C2/m (12)
Size of the total moment ... 0.00 μB/cell
Energy ... -6.41 eV per atom

Unit cell a=5.036 b=7.924 c=14.581 alpha=144.03 beta=90.00 gamma=108.53
Fractional positions:
1 Th 0.665 0.329 0.996
2 Th 0.335 0.671 0.004
3 Y 0.555 0.110 0.669
4 Y 0.445 0.890 0.331
5 Tm 0.226 0.451 0.666
6 Tm 0.774 0.549 0.334
7 Th 0.889 0.779 0.666
8 Y 0.000 0.000 0.000
9 Th 0.111 0.221 0.334



Record 8
Material: CaSe2Cl
Method: DFT, GGA-PBE
State: relaxed

Results
Symmetry ... Fm-3m (225)
Size of the total moment ... 1.02 μB/cell
E_form (uncorrected) ... -0.411 eV/atom
Energy ... -3.12 eV per atom
Polymorph energy (0 for the lowest one) ... 20.16 kcal/mol of atoms

Unit cell a=5.148 b=5.148 c=5.148 alpha=60.00 beta=60.00 gamma=60.00
Fractional positions:
1 Se 0.750 0.750 0.750
2 Ca 0.500 0.500 0.500
3 Cl 0.000 0.000 0.000
4 Se 0.250 0.250 0.250



Record 9
Material: ErZr2Fe
Method: DFT, GGA-PBE
State: relaxed

Results
Symmetry ... P4/mmm (123)
Size of the total moment ... 1.17 μB/cell
Energy ... -7.48 eV per atom
Polymorph energy (0 for the lowest one) ... 2.59 kcal/mol of atoms

Unit cell a=3.255 b=3.255 c=8.052 alpha=90.00 beta=90.00 gamma=90.00
Fractional positions:
1 Zr 0.000 0.000 0.190
2 Zr 0.000 0.000 0.810
3 Er 0.500 0.500 0.500
4 Fe 0.500 0.500 0.000